[1]
## RbS2F (GGA-PBE)

Data for crystalline RbS2F at its relaxed geometry.

Values from the calculation:
V   28.0 Å³/atom
Polymorph energy (0 for the lowest one)   0.00 eV/f.u.
ΔE_f (raw)   -100 kJ per mole of atoms

a b c (Å): 3.7690 3.7690 31.5884
angles (deg): 90.00 90.00 90.00
Closest atoms and distances in Å follow each position.
Space group I-42d (No. 122)
Symmetry-distinct sites (fractional):
Rb 0.0000 0.0000 0.0000 x4  4 F 2.67
S 0.1362 0.7500 0.6250 x8  2 S 2.15
F 0.0000 0.0000 0.5000 x4  4 Rb 2.67

=====

[2]
## NaHfAg2 (GGA-PBE)

Data for crystalline NaHfAg2 at its relaxed geometry.

Values from the calculation:
V   21.1 Å³/atom
Polymorph energy (0 for the lowest one)   0.00 eV/f.u.
ΔE_f   0.074 eV per atom

a b c (Å): 3.2294 3.2294 8.1074
angles (deg): 90.00 90.00 90.00
Closest atoms and distances in Å follow each position.
Space group P4/mmm (No. 123)
Symmetry-distinct sites (fractional):
Na 0.0000 0.0000 0.0000 x1  8 Ag 3.17, 4 Na 3.23
Hf 0.0000 0.0000 0.5000 x1  8 Ag 2.94, 4 Hf 3.23
Ag 0.5000 0.5000 0.2711 x2  4 Hf 2.94, 4 Na 3.17, 4 Ag 3.23

=====

[3]
## Mn2CdGaBr (GGA-PBE)

Data for crystalline Mn2CdGaBr at its relaxed geometry.

Values from the calculation:
V   29.2 Å³/atom
ΔE_f (raw)   90 kJ per mole of atoms

a b c (Å): 5.0102 5.0102 5.8178
angles (deg): 90.00 90.00 90.00
Closest atoms and distances in Å follow each position.
Space group P4/mmm (No. 123)
Symmetry-distinct sites (fractional):
Mn 0.0000 0.5000 0.0000 x2  2 Cd 2.51
Cd 0.0000 0.0000 0.0000 x1  4 Mn 2.51
Ga 0.5000 0.5000 0.5000 x1  4 Br 3.54, 8 Mn 3.84
Br 0.0000 0.0000 0.5000 x1  2 Cd 2.91

=====

Which value of V does entry 1 give? 28.0 Å³/atom